# 1
# LiHf2Ir (PBE, relaxed)
# VASP energy in eV per atom: -8.2005
# Density of states at the Fermi level in states/eV per cell: 5.34
# Spin magnetization in Bohr magnetons per cell: 0.000
# E_form in eV/atom: -0.530
# E above lowest polymorph in meV per atom: 0.0
data_LiHf2Ir
_chemical_formula_sum 'Li4 Hf8 Ir4'
_cell_length_a 6.5401
_cell_length_b 6.5401
_cell_length_c 6.5401
_cell_angle_alpha 90.00
_cell_angle_beta 90.00
_cell_angle_gamma 90.00
_space_group_name_H-M_alt 'F m -3 m'
_space_group_IT_number 225
_space_group_name_Hall '-F 4 2 3'
loop_
_atom_site_label
_atom_site_fract_x
_atom_site_fract_y
_atom_site_fract_z
_atom_site_occupancy
Li1 0.0000 0.0000 0.0000 1
Hf1 0.2500 0.2500 0.2500 1
Ir1 0.0000 0.0000 0.5000 1

# 2
# LiHf3Ir3 (PBE, relaxed)
# VASP energy in eV per atom: -8.9505
# Density of states at the Fermi level in states/eV per cell: 8.41
# Spin magnetization in Bohr magnetons per cell: 0.000
# E_form in eV/atom: -0.614
data_LiHf3Ir3
_chemical_formula_sum 'Li2 Hf6 Ir6'
_cell_length_a 6.3042
_cell_length_b 6.0797
_cell_length_c 6.7219
_cell_angle_alpha 90.00
_cell_angle_beta 90.27
_cell_angle_gamma 90.00
_space_group_name_H-M_alt 'P 1 2/m 1'
_space_group_IT_number 10
loop_
_space_group_symop_operation_xyz
'x,y,z'
'-x,-y,-z'
'-x,y,-z'
'x,-y,z'
loop_
_atom_site_label
_atom_site_fract_x
_atom_site_fract_y
_atom_site_fract_z
_atom_site_occupancy
Li1 0.2457 0.0000 0.2463 1
Hf1 0.2356 0.5000 0.7682 1
Hf2 0.2533 0.0000 0.7476 1
Hf3 0.2549 0.5000 0.2527 1
Ir1 0.0000 0.2496 0.5000 1
Ir2 0.5000 0.2480 0.0000 1
Ir3 0.5000 0.2517 0.5000 1

# 3
# Li2HfIr (PBE, relaxed)
# VASP energy in eV per atom: -5.8171
# Density of states at the Fermi level in states/eV per cell: 6.31
# Spin magnetization in Bohr magnetons per cell: 0.000
# E_form in eV/atom: -0.157
# E above lowest polymorph in meV per atom: 0.0
data_Li2HfIr
_chemical_formula_sum 'Li8 Hf4 Ir4'
_cell_length_a 3.7213
_cell_length_b 3.7213
_cell_length_c 20.3813
_cell_angle_alpha 90.00
_cell_angle_beta 90.00
_cell_angle_gamma 90.00
_space_group_name_H-M_alt 'I -4 2 d'
_space_group_IT_number 122
_space_group_name_Hall 'I -4 2bw'
loop_
_atom_site_label
_atom_site_fract_x
_atom_site_fract_y
_atom_site_fract_z
_atom_site_occupancy
Li1 0.2086 0.2500 0.1250 1
Hf1 0.0000 0.0000 0.5000 1
Ir1 0.0000 0.0000 0.0000 1

# 4
# LiHfIr (PBE, relaxed)
# VASP energy in eV per atom: -6.9444
# Density of states at the Fermi level in states/eV per cell: 7.64
# Spin magnetization in Bohr magnetons per cell: 0.000
# E_form in eV/atom: -0.035
# E above lowest polymorph in meV per atom: 430.5
data_LiHfIr
_chemical_formula_sum 'Li6 Hf6 Ir6'
_cell_length_a 2.9161
_cell_length_b 2.9161
_cell_length_c 44.0652
_cell_angle_alpha 90.00
_cell_angle_beta 90.00
_cell_angle_gamma 120.00
_space_group_name_H-M_alt 'R 3 m'
_space_group_IT_number 160
_space_group_name_Hall 'R 3 -2"'
loop_
_atom_site_label
_atom_site_fract_x
_atom_site_fract_y
_atom_site_fract_z
_atom_site_occupancy
Li1 0.0000 0.0000 0.0000 1
Li2 0.0000 0.0000 0.0621 1
Hf1 0.0000 0.0000 0.5013 1
Hf2 0.0000 0.0000 0.5694 1
Ir1 0.0000 0.0000 0.1186 1
Ir2 0.0000 0.0000 0.2861 1